Entry a
20
Lattice="13.003 0.000 0.000 0.000 5.875 0.000 0.000 0.000 6.217" Properties=species:S:1:pos:R:3 comment="MgZrSc3 (GGA-PBE, optimized geometry)" sg="Pbcm (57)" dos_at_fermi_per_ev_cell=26.008 pbc="T T T"
Mg 2.447 0.232 1.554
Mg 2.447 2.705 4.663
Mg 10.557 3.170 1.554
Mg 10.557 5.642 4.663
Zr 4.836 1.469 0.000
Zr 4.836 1.469 3.108
Zr 8.168 4.406 0.000
Zr 8.168 4.406 3.108
Sc 0.113 1.469 0.000
Sc 0.113 1.469 3.108
Sc 2.583 3.230 1.554
Sc 2.583 5.582 4.663
Sc 5.474 4.330 4.663
Sc 5.474 4.482 1.554
Sc 7.530 1.392 4.663
Sc 7.530 1.545 1.554
Sc 10.420 0.293 1.554
Sc 10.420 2.645 4.663
Sc 12.891 4.406 0.000
Sc 12.891 4.406 3.108

***

Entry b
10
Lattice="3.229 0.000 0.000 0.000 12.971 0.000 -1.051 0.000 5.786" Properties=species:S:1:pos:R:3 comment="MgZrSc3 (GGA-PBE, optimized geometry)" sg="P2/c (13)" dos_at_fermi_per_ev_cell=13.342 pbc="T T T"
Mg -0.263 1.228 1.447
Mg -0.788 11.743 4.340
Zr 0.826 6.200 4.340
Zr 1.352 6.770 1.447
Sc 0.405 4.003 0.063
Sc -0.121 8.968 2.956
Sc 0.826 1.597 4.340
Sc 1.352 11.374 1.447
Sc 2.298 4.003 2.830
Sc 1.773 8.968 5.723

***

Of them, entry b has the highest stability.

***

Entry a
5
Lattice="5.229 0.000 0.000 0.000 5.229 0.000 0.000 0.000 5.229" Properties=species:S:1:pos:R:3 comment="MgZrSc3 (GGA-PBE, optimized geometry)" sg="Pm-3m (221)" dos_at_fermi_per_ev_cell=7.018 pbc="T T T"
Mg 0.000 0.000 0.000
Zr 2.614 2.614 2.614
Sc 0.000 2.614 2.614
Sc 2.614 0.000 2.614
Sc 2.614 2.614 0.000

***

Entry b
5
Lattice="5.132 0.000 0.000 0.000 5.132 0.000 0.000 0.000 5.132" Properties=species:S:1:pos:R:3 comment="MgZrSc3 (GGA-PBE, optimized geometry)" sg="Pm-3m (221)" dos_at_fermi_per_ev_cell=10.187 pbc="T T T"
Mg 0.000 0.000 0.000
Zr 2.566 2.566 2.566
Sc 0.000 0.000 2.566
Sc 0.000 2.566 0.000
Sc 2.566 0.000 0.000

***

Of them, entry a has the highest stability.

***

Entry a
5
Lattice="5.338 0.000 0.000 0.000 5.338 0.000 0.000 0.000 5.338" Properties=species:S:1:pos:R:3 comment="Mg3ZrSc (GGA-PBE, optimized geometry)" sg="Pm-3m (221)" dos_at_fermi_per_ev_cell=8.234 pbc="T T T"
Mg 0.000 0.000 2.669
Mg 0.000 2.669 0.000
Mg 2.669 0.000 0.000
Zr 0.000 0.000 0.000
Sc 2.669 2.669 2.669

***

Entry b
20
Lattice="3.429 0.000 0.000 0.000 14.872 0.000 0.000 0.000 9.411" Properties=species:S:1:pos:R:3 comment="Mg3ZrSc (GGA-PBE, optimized geometry)" sg="Pbcm (57)" dos_at_fermi_per_ev_cell=20.516 pbc="T T T"
Mg 0.004 1.357 0.553
Mg 0.004 1.357 4.153
Mg 0.004 6.079 5.258
Mg 0.004 6.079 8.859
Mg 1.712 11.154 0.000
Mg 1.712 11.154 4.706
Mg 1.717 3.718 0.000
Mg 1.717 3.718 4.706
Mg 3.425 8.793 0.553
Mg 3.425 8.793 4.153
Mg 3.425 13.516 5.258
Mg 3.425 13.516 8.859
Zr 0.002 3.380 7.058
Zr 0.002 4.057 2.353
Zr 3.427 10.816 7.058
Zr 3.427 11.493 2.353
Sc 1.715 0.863 7.058
Sc 1.715 6.573 2.353
Sc 1.714 8.299 7.058
Sc 1.714 14.009 2.353

***

Of them, entry b has the highest stability.

***

Entry a
6
Lattice="0.000 4.172 4.172 4.172 0.000 4.172 4.172 4.172 0.000" Properties=species:S:1:pos:R:3 comment="MgZr4Sc (GGA-PBE, optimized geometry)" sg="F-43m (216)" dos_at_fermi_per_ev_cell=8.704 pbc="T T T"
Mg 0.000 0.000 0.000
Zr 3.146 3.146 3.146
Zr 5.197 5.197 3.146
Zr 5.197 3.146 5.197
Zr 3.146 5.197 5.197
Sc 6.257 6.257 6.257

***

Entry b
12
Lattice="5.617 0.000 0.000 0.000 6.347 0.000 -0.092 0.000 7.785" Properties=species:S:1:pos:R:3 comment="MgZr4Sc (GGA-PBE, optimized geometry)" sg="P2_1/m (11)" dos_at_fermi_per_ev_cell=16.866 pbc="T T T"
Mg 0.000 0.000 0.000
Mg 0.000 3.173 0.000
Zr 0.886 1.587 2.624
Zr 1.855 0.004 5.136
Zr 1.855 3.169 5.136
Zr 2.783 1.587 0.013
Zr 2.742 4.760 7.772
Zr 3.670 3.177 2.650
Zr 3.670 6.343 2.650
Zr 4.639 4.760 5.161
Sc 0.892 4.760 2.583
Sc 4.633 1.587 5.202

***

Of them, entry b has the highest stability.

***

Entry a
6
Lattice="3.096 0.000 0.000 -0.007 5.041 0.000 -0.006 -0.002 8.723" Properties=species:S:1:pos:R:3 comment="Mg4ZrSc (GGA-PBE, optimized geometry)" sg="P-1 (2)" dos_at_fermi_per_ev_cell=6.154 pbc="T T T"
Mg 0.025 0.000 1.446
Mg 0.018 2.519 5.821
Mg 3.058 5.039 7.276
Mg 3.065 2.520 2.902
Zr 1.545 2.520 0.000
Sc 1.545 -0.001 4.361

***

Entry b
6
Lattice="0.000 4.088 4.088 4.088 0.000 4.088 4.088 4.088 0.000" Properties=species:S:1:pos:R:3 comment="Mg4ZrSc (GGA-PBE, optimized geometry)" sg="F-43m (216)" dos_at_fermi_per_ev_cell=7.327 pbc="T T T"
Mg 1.025 1.025 1.025
Mg 3.063 3.063 1.025
Mg 3.063 1.025 3.063
Mg 1.025 3.063 3.063
Zr 4.088 4.088 4.088
Sc 6.133 6.133 6.133

***

Of them, entry a has the highest stability.

***

Entry a
9
Lattice="7.850 -1.571 0.000 7.850 1.571 0.000 -6.237 0.000 8.825" Properties=species:S:1:pos:R:3 comment="MgZr2Sc6 (GGA-PBE, optimized geometry)" sg="C2/m (12)" dos_at_fermi_per_ev_cell=17.112 pbc="T T T"
Mg 0.000 0.000 0.000
Zr 0.885 0.000 5.831
Zr 8.579 0.000 2.994
Sc -3.976 0.000 6.634
Sc 2.905 0.000 1.009
Sc 3.287 0.000 3.946
Sc 6.177 0.000 4.879
Sc 6.559 0.000 7.816
Sc 13.440 0.000 2.191

***

Entry b
9
Lattice="3.255 0.000 0.000 -1.628 2.819 0.000 0.000 0.000 23.899" Properties=species:S:1:pos:R:3 comment="MgZr2Sc6 (GGA-PBE, optimized geometry)" sg="P-6m2 (187)" dos_at_fermi_per_ev_cell=15.733 pbc="T T T"
Mg 0.000 0.000 0.000
Zr 1.628 0.940 7.918
Zr 1.628 0.940 15.981
Sc 0.000 0.000 5.329
Sc 0.000 0.000 10.426
Sc 0.000 0.000 13.473
Sc 0.000 0.000 18.570
Sc 1.628 0.940 2.717
Sc 1.628 0.940 21.182

***

Of them, entry b has the highest stability.

***

Entry a
16
Lattice="7.650 0.000 0.000 -3.825 6.625 0.000 0.000 0.000 7.330" Properties=species:S:1:pos:R:3 comment="Mg5Se3 (GGA-PBE, optimized geometry)" sg="P6_3/mcm (193)" dos_at_fermi_per_ev_cell=5.260 pbc="T T T"
Mg -0.822 1.424 1.833
Mg -3.003 5.201 5.498
Mg 1.644 0.000 1.833
Mg 0.822 1.424 5.498
Mg 0.000 4.417 0.000
Mg 0.000 4.417 3.665
Mg 3.825 2.208 0.000
Mg 3.825 2.208 3.665
Mg 6.006 0.000 5.498
Mg 3.003 5.201 1.833
Se -1.700 2.945 5.498
Se -2.125 3.680 1.833
Se 3.400 0.000 5.498
Se 1.700 2.945 1.833
Se 4.250 0.000 1.833
Se 2.125 3.680 5.498

***

Entry b
8
Lattice="3.459 0.000 0.000 0.000 3.459 0.000 0.000 0.000 14.578" Properties=species:S:1:pos:R:3 comment="Mg5Se3 (GGA-PBE, optimized geometry)" sg="P4/mmm (123)" dos_at_fermi_per_ev_cell=2.660 pbc="T T T"
Mg 0.000 0.000 0.000
Mg 0.000 0.000 3.229
Mg 0.000 0.000 11.349
Mg 1.730 1.730 5.685
Mg 1.730 1.730 8.893
Se 0.000 0.000 7.289
Se 1.730 1.730 1.733
Se 1.730 1.730 12.845

***

Of them, entry a has the highest stability.

***

Entry a
16
Lattice="6.728 0.000 0.000 0.000 10.321 0.000 0.000 0.000 5.092" Properties=species:S:1:pos:R:3 comment="Mg5Se3 (GGA-PBE, optimized geometry)" sg="Cmmm (65)" dos_at_fermi_per_ev_cell=5.960 pbc="T T T"
Mg 0.000 0.000 0.000
Mg 1.478 5.161 2.546
Mg 1.682 2.580 0.000
Mg 1.682 7.741 0.000
Mg 1.886 0.000 2.546
Mg 3.364 5.161 0.000
Mg 4.842 0.000 2.546
Mg 5.046 2.580 0.000
Mg 5.046 7.741 0.000
Mg 5.250 5.161 2.546
Se 0.000 1.909 2.546
Se 0.000 5.161 0.000
Se 0.000 8.412 2.546
Se 3.364 0.000 0.000
Se 3.364 3.252 2.546
Se 3.364 7.070 2.546

***

Entry b
16
Lattice="6.956 0.000 0.000 3.433 6.921 0.000 1.685 3.333 7.971" Properties=species:S:1:pos:R:3 comment="Mg5Se3 (GGA-PBE, optimized geometry)" sg="P-1 (2)" dos_at_fermi_per_ev_cell=0.240 pbc="T T T"
Mg 2.321 3.626 1.855
Mg 3.340 3.610 7.141
Mg 5.745 7.674 3.810
Mg 4.516 4.861 4.276
Mg 5.755 5.931 6.815
Mg 6.320 4.323 1.157
Mg 7.559 5.394 3.695
Mg 6.330 2.580 4.161
Mg 8.734 6.645 0.830
Mg 9.754 6.629 6.116
Se 2.084 3.278 4.586
Se 3.924 4.946 0.202
Se 3.032 1.188 1.289
Se 9.043 9.066 6.682
Se 8.150 5.308 7.769
Se 9.991 6.976 3.386

***

Of them, entry b has the highest stability.

***

Entry a
9
Lattice="-5.200 5.200 1.938 5.200 -5.200 1.938 5.200 5.200 -1.938" Properties=species:S:1:pos:R:3 comment="Mg5Se4 (GGA-PBE, optimized geometry)" sg="I4/mmm (139)" dos_at_fermi_per_ev_cell=2.468 pbc="T T T"
Mg 0.000 0.000 0.000
Mg 3.599 3.599 0.000
Mg 1.601 -1.601 1.938
Mg -1.601 1.601 1.938
Mg 1.601 1.601 1.938
Se 2.744 0.000 0.000
Se 7.657 0.000 0.000
Se 0.000 2.744 0.000
Se 0.000 7.657 0.000

***

Entry b
18
Lattice="7.811 0.000 0.000 -3.905 6.764 0.000 0.000 0.000 7.548" Properties=species:S:1:pos:R:3 comment="Mg5Se4 (GGA-PBE, optimized geometry)" sg="P6_3/mcm (193)" dos_at_fermi_per_ev_cell=6.835 pbc="T T T"
Mg -0.980 1.697 1.887
Mg -2.925 5.067 5.661
Mg 1.960 0.000 1.887
Mg 0.980 1.697 5.661
Mg 0.000 4.509 0.000
Mg 0.000 4.509 3.774
Mg 3.905 2.255 0.000
Mg 3.905 2.255 3.774
Mg 5.851 0.000 5.661
Mg 2.925 5.067 1.887
Se 0.000 0.000 0.000
Se 0.000 0.000 3.774
Se -1.621 2.807 5.661
Se -2.284 3.957 1.887
Se 3.242 0.000 5.661
Se 1.621 2.807 1.887
Se 4.569 0.000 1.887
Se 2.284 3.957 5.661

***

Of them, entry b has the highest stability.

***

Entry a
9
Lattice="-7.874 7.874 1.633 7.874 -7.874 1.633 7.874 7.874 -1.633" Properties=species:S:1:pos:R:3 comment="Mg4Se5 (GGA-PBE, optimized geometry)" sg="I4/mmm (139)" dos_at_fermi_per_ev_cell=3.842 pbc="T T T"
Mg 2.450 0.000 0.000
Mg 13.297 0.000 0.000
Mg 0.000 2.450 0.000
Mg 0.000 13.297 0.000
Se 0.000 0.000 0.000
Se 5.563 5.563 0.000
Se 2.310 -2.310 1.633
Se -2.310 2.310 1.633
Se 2.310 2.310 1.633

***

Entry b
18
Lattice="8.709 0.000 0.000 -4.354 7.542 0.000 0.000 0.000 5.655" Properties=species:S:1:pos:R:3 comment="Mg4Se5 (GGA-PBE, optimized geometry)" sg="P6_3/mcm (193)" dos_at_fermi_per_ev_cell=11.517 pbc="T T T"
Mg 0.000 0.000 0.000
Mg 0.000 0.000 2.827
Mg -1.559 2.700 1.414
Mg -2.795 4.842 4.241
Mg 3.118 0.000 1.414
Mg 1.559 2.700 4.241
Mg 5.591 0.000 4.241
Mg 2.795 4.842 1.414
Se -1.143 1.979 4.241
Se -3.212 5.563 1.414
Se 2.285 0.000 4.241
Se 1.143 1.979 1.414
Se 0.000 5.028 0.000
Se 0.000 5.028 2.827
Se 4.354 2.514 0.000
Se 4.354 2.514 2.827
Se 6.424 0.000 1.414
Se 3.212 5.563 4.241

***

Of them, entry b has the highest stability.

***

Entry a
5
Lattice="3.671 0.000 0.000 -1.835 3.179 0.000 0.000 0.000 11.481" Properties=species:S:1:pos:R:3 comment="Mg4Se (GGA-PBE, optimized geometry)" sg="P-3m1 (164)" dos_at_fermi_per_ev_cell=2.960 pbc="T T T"
Mg 0.000 2.119 1.644
Mg 0.000 2.119 4.557
Mg 1.835 1.060 6.924
Mg 1.835 1.060 9.836
Se 0.000 0.000 0.000

***

Entry b
5
Lattice="5.138 0.000 0.000 0.000 5.138 0.000 0.000 0.000 5.138" Properties=species:S:1:pos:R:3 comment="Mg4Se (GGA-PBE, optimized geometry)" sg="Pm-3m (221)" dos_at_fermi_per_ev_cell=2.615 pbc="T T T"
Mg 0.000 0.000 0.000
Mg 0.000 2.569 2.569
Mg 2.569 0.000 2.569
Mg 2.569 2.569 0.000
Se 2.569 2.569 2.569

***

Of them, entry a has the highest stability.